SiH3Br | Alexandria | PBE | optimized geometry; VASP energy = -3.64 eV per atom; space group = P2_1; N(E_F) = 0.000 states/eV per cell
1.0
4.523 0.000 0.000
0.000 5.754 0.009
0.000 0.014 7.180
Si H Br
2 6 2
Direct
0.266 0.749 0.701
0.766 0.603 0.201
0.438 0.580 0.201
0.397 0.852 0.872
0.897 0.500 0.372
0.939 0.773 0.700
0.897 0.501 0.030
0.398 0.853 0.529
0.379 0.370 0.701
0.879 0.983 0.200